The following is a PBE calculation of crystalline MnPtRh3 at its relaxed geometry, from Alexandria via LeMat-Bulk. Values from VASP.

Calculated values
The value obtained for the raw total energy is -75.763 eV per cell. The spin magnetization comes out at 2.7 μB per formula unit. The value obtained for the density of states at the Fermi level is 11.935 states/eV/cell.

Cell and atoms, written as Quantum ESPRESSO input:
```
&SYSTEM
  ibrav = 0, nat = 10, ntyp = 3
/
ATOMIC_SPECIES
Rh 102.91 Rh.upf
Pt 195.08 Pt.upf
Mn 54.94 Mn.upf
ATOMIC_POSITIONS crystal
Rh 0.750 0.549 0.853
Rh 0.750 0.762 0.251
Rh 0.250 0.451 0.147
Pt 0.250 0.665 0.549
Pt 0.750 0.335 0.451
Rh 0.250 0.849 0.956
Mn 0.250 0.056 0.337
Rh 0.250 0.238 0.749
Mn 0.750 0.944 0.663
Rh 0.750 0.151 0.044
CELL_PARAMETERS angstrom
3.869 0.000 0.000
-0.001 5.976 -0.868
0.000 0.785 6.073
```

The following is a PBE calculation of crystalline Pr3GaH at its relaxed geometry, from Alexandria via LeMat-Bulk. Values from VASP.

Calculated values
The value obtained for the raw total energy is -88.673 eV per cell. The spin magnetization comes out at 0.0 μB per formula unit. The value obtained for the density of states at the Fermi level is 17.899 states/eV/cell.

Cell and atoms, written as Quantum ESPRESSO input:
```
&SYSTEM
  ibrav = 0, nat = 20, ntyp = 3
/
ATOMIC_SPECIES
Ga 69.72 Ga.upf
Pr 140.91 Pr.upf
H 1.01 H.upf
ATOMIC_POSITIONS crystal
Ga 0.760 0.537 0.190
Pr 0.966 0.202 0.007
Pr 0.985 0.299 0.391
Pr 0.034 0.798 0.993
Pr 0.764 0.926 0.317
H 0.261 0.017 0.936
H 0.239 0.517 0.436
Pr 0.264 0.574 0.183
Pr 0.534 0.702 0.507
H 0.739 0.983 0.064
H 0.761 0.483 0.564
Pr 0.515 0.799 0.891
Ga 0.740 0.037 0.690
Ga 0.240 0.463 0.810
Pr 0.015 0.701 0.609
Ga 0.260 0.963 0.310
Pr 0.736 0.426 0.817
Pr 0.466 0.298 0.493
Pr 0.485 0.201 0.109
Pr 0.236 0.074 0.683
CELL_PARAMETERS angstrom
-2.804 -2.817 -5.379
-2.302 -6.594 4.654
-7.061 5.699 0.696
```

The following is a PBE calculation of crystalline YSb2S6 at its relaxed geometry, from Alexandria via LeMat-Bulk. Values from VASP.

Calculated values
The value obtained for the raw total energy is -43.867 eV per cell. The spin magnetization comes out at 0.0 μB per formula unit. The value obtained for the density of states at the Fermi level is 1.471 states/eV/cell.

Cell and atoms, written as Quantum ESPRESSO input:
```
&SYSTEM
  ibrav = 0, nat = 9, ntyp = 3
/
ATOMIC_SPECIES
Y 88.91 Y.upf
S 32.06 S.upf
Sb 121.76 Sb.upf
ATOMIC_POSITIONS crystal
Y 0.000 0.500 0.500
S 0.011 0.209 0.770
S 0.653 0.250 0.445
S 0.347 0.750 0.555
S 0.719 0.658 0.904
S 0.281 0.342 0.096
S 0.989 0.791 0.230
Sb 0.806 0.174 0.214
Sb 0.194 0.826 0.786
CELL_PARAMETERS angstrom
-1.279 1.129 3.930
-6.444 -1.278 0.605
-1.233 -8.867 4.481
```

The following is a PBE calculation of crystalline NaTlAgN2 at its relaxed geometry, from Alexandria via LeMat-Bulk. Values from VASP.

Calculated values
The value obtained for the raw total energy is -14.304 eV per cell. The spin magnetization comes out at 3.6 μB per formula unit. The value obtained for the density of states at the Fermi level is 3.767 states/eV/cell.

Cell and atoms, written as Quantum ESPRESSO input:
```
&SYSTEM
  ibrav = 0, nat = 5, ntyp = 4
/
ATOMIC_SPECIES
N 14.01 N.upf
Na 22.99 Na.upf
Ag 107.87 Ag.upf
Tl 204.38 Tl.upf
ATOMIC_POSITIONS crystal
N 0.500 0.000 0.000
N 0.000 0.000 0.500
Na 0.000 0.000 0.000
Ag 0.000 0.500 0.000
Tl 0.500 0.500 0.500
CELL_PARAMETERS angstrom
4.505 0.000 0.000
0.000 5.154 0.000
0.000 0.000 4.505
```

The following is a PBE calculation of crystalline TiSn3Au at its relaxed geometry, from Alexandria via LeMat-Bulk. Values from VASP.

Calculated values
The value obtained for the raw total energy is -21.227 eV per cell. The spin magnetization comes out at 0.0 μB per formula unit. The value obtained for the density of states at the Fermi level is 4.695 states/eV/cell.

Cell and atoms, written as Quantum ESPRESSO input:
```
&SYSTEM
  ibrav = 0, nat = 5, ntyp = 3
/
ATOMIC_SPECIES
Ti 47.87 Ti.upf
Sn 118.71 Sn.upf
Au 196.97 Au.upf
ATOMIC_POSITIONS crystal
Ti 0.000 0.000 0.000
Sn 0.500 0.000 0.000
Sn 0.000 0.500 0.000
Sn 0.000 0.000 0.500
Au 0.500 0.500 0.500
CELL_PARAMETERS angstrom
-3.263 0.023 -4.149
-3.022 -3.629 2.357
-2.842 3.833 2.257
```

The following is a PBE calculation of crystalline ScSi2S at its relaxed geometry, from Alexandria via LeMat-Bulk. Values from VASP.

Calculated values
The value obtained for the raw total energy is -43.112 eV per cell. The spin magnetization comes out at 0.0 μB per formula unit. The value obtained for the density of states at the Fermi level is 5.938 states/eV/cell.

Cell and atoms, written as Quantum ESPRESSO input:
```
&SYSTEM
  ibrav = 0, nat = 8, ntyp = 3
/
ATOMIC_SPECIES
Sc 44.96 Sc.upf
Si 28.09 Si.upf
S 32.06 S.upf
ATOMIC_POSITIONS crystal
Sc 0.750 0.250 0.500
Si 0.875 0.849 0.750
Si 0.599 0.125 0.250
Si 0.151 0.625 0.250
S 0.250 0.750 0.500
Si 0.375 0.401 0.750
Sc 0.000 0.000 0.000
S 0.500 0.500 0.000
CELL_PARAMETERS angstrom
-4.090 0.291 6.211
-5.920 -2.456 -3.783
-4.357 -3.475 1.753
```

The following is a PBE calculation of crystalline NdTh2B6 at its relaxed geometry, from Alexandria via LeMat-Bulk. Values from VASP.

Calculated values
The value obtained for the raw total energy is -63.310 eV per cell. The spin magnetization comes out at 0.0 μB per formula unit. The value obtained for the density of states at the Fermi level is 2.723 states/eV/cell.

Cell and atoms, written as Quantum ESPRESSO input:
```
&SYSTEM
  ibrav = 0, nat = 9, ntyp = 3
/
ATOMIC_SPECIES
Th 232.04 Th.upf
B 10.81 B.upf
Nd 144.24 Nd.upf
ATOMIC_POSITIONS crystal
Th 0.000 0.667 0.333
B 0.500 0.000 0.668
B 0.500 0.332 0.000
Nd 0.000 0.000 0.000
Th 0.000 0.333 0.667
B 0.500 0.668 0.668
B 0.500 0.668 0.000
B 0.500 0.000 0.332
B 0.500 0.332 0.332
CELL_PARAMETERS angstrom
4.184 0.000 0.000
0.000 5.008 -2.892
0.000 0.000 5.783
```

The following is a PBE calculation of crystalline PrCrFeP2 at its relaxed geometry, from Alexandria via LeMat-Bulk. Values from VASP.

Calculated values
The value obtained for the raw total energy is -37.926 eV per cell. The spin magnetization comes out at 2.8 μB per formula unit. The value obtained for the density of states at the Fermi level is 3.257 states/eV/cell.

Cell and atoms, written as Quantum ESPRESSO input:
```
&SYSTEM
  ibrav = 0, nat = 5, ntyp = 4
/
ATOMIC_SPECIES
Cr 52.00 Cr.upf
Fe 55.84 Fe.upf
P 30.97 P.upf
Pr 140.91 Pr.upf
ATOMIC_POSITIONS crystal
Cr 0.750 0.250 0.500
Fe 0.250 0.750 0.500
P 0.361 0.361 0.722
P 0.639 0.639 0.278
Pr 0.000 0.000 0.000
CELL_PARAMETERS angstrom
3.808 0.000 0.000
0.000 3.808 0.000
-1.904 -1.904 5.631
```

Please write out number 3 again, unchanged.
The following is a PBE calculation of crystalline YSb2S6 at its relaxed geometry, from Alexandria via LeMat-Bulk. Values from VASP.

Calculated values
The value obtained for the raw total energy is -43.867 eV per cell. The spin magnetization comes out at 0.0 μB per formula unit. The value obtained for the density of states at the Fermi level is 1.471 states/eV/cell.

Cell and atoms, written as Quantum ESPRESSO input:
```
&SYSTEM
  ibrav = 0, nat = 9, ntyp = 3
/
ATOMIC_SPECIES
Y 88.91 Y.upf
S 32.06 S.upf
Sb 121.76 Sb.upf
ATOMIC_POSITIONS crystal
Y 0.000 0.500 0.500
S 0.011 0.209 0.770
S 0.653 0.250 0.445
S 0.347 0.750 0.555
S 0.719 0.658 0.904
S 0.281 0.342 0.096
S 0.989 0.791 0.230
Sb 0.806 0.174 0.214
Sb 0.194 0.826 0.786
CELL_PARAMETERS angstrom
-1.279 1.129 3.930
-6.444 -1.278 0.605
-1.233 -8.867 4.481
```

- Number 5 is which compound?
  TiSn3Au

- What is the raw total energy in the fifth record?
  -21.227 eV per cell

- Which value of density of states at the Fermi level does entry 7 give?
  2.723 states/eV/cell